1.
LiAlZn2 (GGA-PBE, relaxed); symmetry = Cmmm, No. 65; mass density = 4.464 Mg/m³; DFT formation energy = -1.94 kcal/mol of atoms
1.0
4.627 -0.038 0.000
-1.217 4.464 0.000
0.000 0.000 2.973
Zn Al Li
2 1 1
Direct
0.000 0.000 0.000
0.500 0.500 0.000
0.500 0.000 0.500
0.000 0.500 0.500



2.
LiAl2Zn (GGA-PBE, relaxed); symmetry = I4/mmm, No. 139; mass density = 3.304 Mg/m³; DFT formation energy = -1.94 kcal/mol of atoms
1.0
-3.203 -3.087 -2.096
-0.742 -3.923 2.871
-0.142 4.835 0.884
Zn Al Li
1 2 1
Direct
0.750 0.250 0.500
0.000 0.000 0.000
0.500 0.500 0.000
0.250 0.750 0.500



3.
LiAlZn2 (GGA-PBE, relaxed); symmetry = Immm, No. 71; mass density = 3.901 Mg/m³; DFT formation energy = 3.48 kcal/mol of atoms
1.0
0.837 0.454 -6.079
-4.643 1.439 3.773
0.440 1.840 5.855
Li Al Zn
1 1 2
Direct
0.000 0.000 0.000
0.000 0.500 0.500
0.000 0.251 0.251
0.000 0.749 0.749



4.
Li4AlZn (GGA-PBE, relaxed); symmetry = F-43m, No. 216; mass density = 2.137 Mg/m³; DFT formation energy = 0.87 kcal/mol of atoms
1.0
0.000 3.601 3.601
3.601 0.000 3.601
3.601 3.601 0.000
Li Al Zn
4 1 1
Direct
0.375 0.876 0.375
0.876 0.375 0.375
0.375 0.375 0.876
0.375 0.375 0.375
0.000 0.000 0.000
0.750 0.750 0.750



5.
LiAl4Zn4 (GGA-PBE, relaxed); symmetry = I4/mmm, No. 139; mass density = 4.404 Mg/m³; DFT formation energy = -0.68 kcal/mol of atoms
1.0
3.997 0.000 0.000
1.999 5.959 0.000
1.999 0.000 5.959
Li Al Zn
1 4 4
Direct
0.000 0.000 0.000
0.668 0.664 0.000
0.332 0.336 0.000
0.668 0.000 0.664
0.332 0.000 0.336
0.667 0.333 0.332
0.333 0.667 0.668
0.000 0.668 0.333
0.000 0.332 0.667



6.
Li4AlZn2 (GGA-PBE, relaxed); symmetry = C2, No. 5; mass density = 2.578 Mg/m³; DFT formation energy = -1.44 kcal/mol of atoms
1.0
4.668 0.035 2.642
1.941 4.885 2.100
0.030 1.226 5.526
Li Al Zn
4 1 2
Direct
0.480 0.447 0.030
0.520 0.970 0.553
0.064 0.863 0.586
0.936 0.414 0.137
0.000 0.930 0.070
0.500 0.951 0.049
0.000 0.425 0.575